Record 1
DFT (GGA+U) results for an optimized crystal structure of Zr2FeO2.

Lattice parameters (Å, degrees): 6.9522 6.9522 2.8123 90.00 90.00 90.00
Last column: nearest neighbours and their distance in Å.
Fractional coordinates of all 10 atoms:
Fe  0.0000  0.0000  0.0000  4 Zr 2.63, 2 Fe 2.81
O  0.6264  0.8736  0.5000  6 Zr 2.42-2.57, 1 O 2.49
Zr  0.6552  0.1552  0.0000  6 O 2.42-2.57, 2 Fe 2.63
O  0.8736  0.3736  0.5000  6 Zr 2.42-2.57, 1 O 2.49
Zr  0.8448  0.6552  0.0000  6 O 2.42-2.57, 2 Fe 2.63
Zr  0.3448  0.8448  0.0000  6 O 2.42-2.57, 2 Fe 2.63
Fe  0.5000  0.5000  0.0000  4 Zr 2.63, 2 Fe 2.81
O  0.1264  0.6264  0.5000  6 Zr 2.42-2.57, 1 O 2.49
Zr  0.1552  0.3448  0.0000  6 O 2.42-2.57, 2 Fe 2.63
O  0.3736  0.1264  0.5000  6 Zr 2.42-2.57, 1 O 2.49

Calculated values
symmetry = P4/mbm (127)
DOS at the Fermi energy = 0.58 states/eV/atom
magnetic moment = 4.2 Bohr magnetons per cell
distance to the lowest polymorph of the same formula = 667.8 meV per atom



Record 2
DFT (GGA+U) results for an optimized crystal structure of ZrFe3O.

Lattice parameters (Å, degrees): 4.2862 4.2862 4.2862 90.00 90.00 90.00
Last column: nearest neighbours and their distance in Å.
Fractional coordinates of all 5 atoms:
O  0.0000  0.0000  0.0000  6 Fe 2.14
Fe  0.0000  0.0000  0.5000  2 O 2.14
Zr  0.5000  0.5000  0.5000  12 Fe 3.03
Fe  0.5000  0.0000  0.0000  2 O 2.14
Fe  0.0000  0.5000  0.0000  2 O 2.14

Calculated values
symmetry = Pm-3m (221)
DOS at the Fermi energy = 0.75 states/eV/atom
magnetic moment = 9.2 Bohr magnetons per cell
distance to the lowest polymorph of the same formula = 0.0 meV per atom



Please write out number 2 again, unchanged.
DFT (GGA+U) results for an optimized crystal structure of ZrFe3O.

Lattice parameters (Å, degrees): 4.2862 4.2862 4.2862 90.00 90.00 90.00
Last column: nearest neighbours and their distance in Å.
Fractional coordinates of all 5 atoms:
O  0.0000  0.0000  0.0000  6 Fe 2.14
Fe  0.0000  0.0000  0.5000  2 O 2.14
Zr  0.5000  0.5000  0.5000  12 Fe 3.03
Fe  0.5000  0.0000  0.0000  2 O 2.14
Fe  0.0000  0.5000  0.0000  2 O 2.14

Calculated values
symmetry = Pm-3m (221)
DOS at the Fermi energy = 0.75 states/eV/atom
magnetic moment = 9.2 Bohr magnetons per cell
distance to the lowest polymorph of the same formula = 0.0 meV per atom



What did the first record say?
DFT (GGA+U) results for an optimized crystal structure of Zr2FeO2.

Lattice parameters (Å, degrees): 6.9522 6.9522 2.8123 90.00 90.00 90.00
Last column: nearest neighbours and their distance in Å.
Fractional coordinates of all 10 atoms:
Fe  0.0000  0.0000  0.0000  4 Zr 2.63, 2 Fe 2.81
O  0.6264  0.8736  0.5000  6 Zr 2.42-2.57, 1 O 2.49
Zr  0.6552  0.1552  0.0000  6 O 2.42-2.57, 2 Fe 2.63
O  0.8736  0.3736  0.5000  6 Zr 2.42-2.57, 1 O 2.49
Zr  0.8448  0.6552  0.0000  6 O 2.42-2.57, 2 Fe 2.63
Zr  0.3448  0.8448  0.0000  6 O 2.42-2.57, 2 Fe 2.63
Fe  0.5000  0.5000  0.0000  4 Zr 2.63, 2 Fe 2.81
O  0.1264  0.6264  0.5000  6 Zr 2.42-2.57, 1 O 2.49
Zr  0.1552  0.3448  0.0000  6 O 2.42-2.57, 2 Fe 2.63
O  0.3736  0.1264  0.5000  6 Zr 2.42-2.57, 1 O 2.49

Calculated values
symmetry = P4/mbm (127)
DOS at the Fermi energy = 0.58 states/eV/atom
magnetic moment = 4.2 Bohr magnetons per cell
distance to the lowest polymorph of the same formula = 667.8 meV per atom



Repeat the first record exactly.
DFT (GGA+U) results for an optimized crystal structure of Zr2FeO2.

Lattice parameters (Å, degrees): 6.9522 6.9522 2.8123 90.00 90.00 90.00
Last column: nearest neighbours and their distance in Å.
Fractional coordinates of all 10 atoms:
Fe  0.0000  0.0000  0.0000  4 Zr 2.63, 2 Fe 2.81
O  0.6264  0.8736  0.5000  6 Zr 2.42-2.57, 1 O 2.49
Zr  0.6552  0.1552  0.0000  6 O 2.42-2.57, 2 Fe 2.63
O  0.8736  0.3736  0.5000  6 Zr 2.42-2.57, 1 O 2.49
Zr  0.8448  0.6552  0.0000  6 O 2.42-2.57, 2 Fe 2.63
Zr  0.3448  0.8448  0.0000  6 O 2.42-2.57, 2 Fe 2.63
Fe  0.5000  0.5000  0.0000  4 Zr 2.63, 2 Fe 2.81
O  0.1264  0.6264  0.5000  6 Zr 2.42-2.57, 1 O 2.49
Zr  0.1552  0.3448  0.0000  6 O 2.42-2.57, 2 Fe 2.63
O  0.3736  0.1264  0.5000  6 Zr 2.42-2.57, 1 O 2.49

Calculated values
symmetry = P4/mbm (127)
DOS at the Fermi energy = 0.58 states/eV/atom
magnetic moment = 4.2 Bohr magnetons per cell
distance to the lowest polymorph of the same formula = 667.8 meV per atom



Please write out number 2 again, unchanged.
DFT (GGA+U) results for an optimized crystal structure of ZrFe3O.

Lattice parameters (Å, degrees): 4.2862 4.2862 4.2862 90.00 90.00 90.00
Last column: nearest neighbours and their distance in Å.
Fractional coordinates of all 5 atoms:
O  0.0000  0.0000  0.0000  6 Fe 2.14
Fe  0.0000  0.0000  0.5000  2 O 2.14
Zr  0.5000  0.5000  0.5000  12 Fe 3.03
Fe  0.5000  0.0000  0.0000  2 O 2.14
Fe  0.0000  0.5000  0.0000  2 O 2.14

Calculated values
symmetry = Pm-3m (221)
DOS at the Fermi energy = 0.75 states/eV/atom
magnetic moment = 9.2 Bohr magnetons per cell
distance to the lowest polymorph of the same formula = 0.0 meV per atom